A relaxed YBi3Te crystal. Source: Alexandria, functional GGA-PBE.

```
5
Lattice="5.798 0.000 0.000 0.000 5.798 0.000 0.000 0.000 5.798" Properties=species:S:1:pos:R:3 pbc="T T T"
Bi 0.000 2.899 0.000
Bi 2.899 0.000 0.000
Bi 0.000 0.000 2.899
Y 2.899 2.899 2.899
Te 0.000 0.000 0.000
```

Calculated density in kg/m3: 7187
Space-group type: Pm-3m
E above lowest polymorph in meV/atom: 38
E_form (uncorrected) in eV/atom: 0.455

A relaxed Y2BiTe crystal. Source: Alexandria, functional GGA-PBE.

```
4
Lattice="4.333 0.000 0.000 2.167 3.753 0.000 2.167 1.251 7.654" Properties=species:S:1:pos:R:3 pbc="T T T"
Y 2.167 1.251 5.822
Y 2.167 1.251 1.840
Bi 6.500 3.753 7.619
Te 4.333 2.502 3.855
```

Calculated density in kg/m3: 6863
Space-group type: R3m
E above lowest polymorph in meV/atom: 52
E_form (uncorrected) in eV/atom: -1.071

A relaxed Y6Bi3Te crystal. Source: Alexandria, functional GGA-PBE.

```
20
Lattice="-6.985 1.857 2.132 -3.551 -6.213 -6.224 1.071 -5.082 7.936" Properties=species:S:1:pos:R:3 pbc="T T T"
Bi -8.517 -7.278 4.892
Bi -7.482 -4.195 1.398
Bi -4.349 -1.257 -0.011
Bi -6.943 -0.109 3.806
Bi -3.181 -4.925 2.811
Bi -5.923 -8.426 1.075
Te -6.666 -3.419 7.700
Te -6.254 -5.101 -2.802
Y -5.179 -2.493 2.742
Y -2.243 -7.012 4.959
Y -6.001 -6.235 3.309
Y -2.186 -3.543 0.145
Y -1.338 -2.892 4.335
Y -4.475 -4.192 5.774
Y -3.317 -5.691 -2.441
Y -0.716 -4.619 8.405
Y -8.785 -4.810 -4.550
Y -7.886 -6.610 -0.565
Y -3.008 -7.286 0.712
Y -6.982 -2.490 -1.189
```

Calculated density in kg/m3: 6501
Space-group type: Cmc2_1
E_form (uncorrected) in eV/atom: -0.674

A relaxed Y6BiTe5 crystal. Source: Alexandria, functional GGA-PBE.

```
12
Lattice="7.618 0.192 0.000 2.330 7.214 0.000 1.165 3.607 6.561" Properties=species:S:1:pos:R:3 pbc="T T T"
Y 7.446 5.544 0.000
Y 2.503 1.863 0.000
Y 4.828 9.055 4.372
Y 3.663 5.448 2.189
Y 6.286 1.958 2.189
Y 7.451 5.566 4.372
Te 2.330 7.214 4.368
Te 6.139 7.310 2.177
Te 4.974 3.703 0.000
Te 1.165 3.607 2.193
Te 4.974 3.703 4.383
Bi 0.000 0.000 0.000
```

Calculated density in kg/m3: 6409
Space-group type: C2/m
E_form (uncorrected) in eV/atom: -1.251

A relaxed Y4Bi3Te crystal. Source: Alexandria, functional GGA-PBE.

```
8
Lattice="-5.293 -3.038 -1.564 1.661 0.234 -6.073 4.801 -4.109 4.423" Properties=species:S:1:pos:R:3 pbc="T T T"
Bi -1.816 -1.402 -3.819
Bi 2.323 -2.639 -2.735
Bi -1.154 -4.275 -0.480
Y 0.338 -7.030 -0.178
Y 3.815 -5.394 -2.433
Y 1.499 -2.768 0.303
Y -0.330 -4.146 -3.518
Te 0.000 0.000 0.000
```

Calculated density in kg/m3: 7376
Space-group type: I4/mmm
E_form (uncorrected) in eV/atom: -1.023

A relaxed YBiTe3 crystal. Source: Alexandria, functional GGA-PBE.

```
10
Lattice="-1.775 -2.904 3.009 -3.710 -4.006 -6.055 11.455 -4.410 2.501" Properties=species:S:1:pos:R:3 pbc="T T T"
Te 0.014 -5.088 0.242
Te -3.540 -6.168 -2.897
Te 5.956 -6.232 -0.787
Te 9.510 -5.151 2.352
Te 3.729 -2.986 1.032
Te 2.242 -8.334 -1.578
Bi -0.705 -7.022 -2.050
Bi 6.675 -4.297 1.504
Y 0.774 -2.171 0.075
Y 5.196 -9.148 -0.621
```

Calculated density in kg/m3: 5295
Space-group type: P2_1/m
E above lowest polymorph in meV/atom: 127
E_form (uncorrected) in eV/atom: -0.687